# 1
# GGA-PBE CrNiPtW, relaxed
data_CrNiPtW
_cell_length_a 4.2480
_cell_length_b 4.2480
_cell_length_c 4.2480
_cell_angle_alpha 60.00
_cell_angle_beta 60.00
_cell_angle_gamma 60.00
_symmetry_space_group_name_H-M 'P 1'
_symmetry_Int_Tables_number 1
loop_
_symmetry_equiv_pos_as_xyz
'x,y,z'
loop_
_atom_site_label
_atom_site_fract_x
_atom_site_fract_y
_atom_site_fract_z
Pt1 0.2500 0.2500 0.2500
Cr1 0.0000 0.0000 0.0000
W1 0.7500 0.7500 0.7500
Ni1 0.5000 0.5000 0.5000
# E_form	18	kJ/mol of formula units
# M_tot	0.00	Bohr magnetons per cell
# E	-8.55	eV/atom

=====

# 2
# GGA-PBE ZnCrNi2Pt, relaxed
data_ZnCrNi2Pt
_cell_length_a 4.6300
_cell_length_b 4.6887
_cell_length_c 4.6300
_cell_angle_alpha 90.00
_cell_angle_beta 90.00
_cell_angle_gamma 90.00
_symmetry_space_group_name_H-M 'P 1'
_symmetry_Int_Tables_number 1
loop_
_symmetry_equiv_pos_as_xyz
'x,y,z'
loop_
_atom_site_label
_atom_site_fract_x
_atom_site_fract_y
_atom_site_fract_z
Ni1 0.5000 0.0000 0.0000
Ni2 0.0000 0.0000 0.5000
Zn1 0.0000 0.5000 0.0000
Cr1 0.5000 0.5000 0.5000
Pt1 0.0000 0.0000 0.0000
# E_form	465	kJ/mol of formula units
# M_tot	6.42	Bohr magnetons per cell
# E	-4.74	eV/atom

=====

# 3
# GGA-PBE PuCrNi4, relaxed
data_PuCrNi4
_cell_length_a 4.8939
_cell_length_b 4.8939
_cell_length_c 4.8939
_cell_angle_alpha 60.00
_cell_angle_beta 60.00
_cell_angle_gamma 60.00
_symmetry_space_group_name_H-M 'P 1'
_symmetry_Int_Tables_number 1
loop_
_symmetry_equiv_pos_as_xyz
'x,y,z'
loop_
_atom_site_label
_atom_site_fract_x
_atom_site_fract_y
_atom_site_fract_z
Ni1 0.6256 0.6256 0.6256
Ni2 0.6256 0.1232 0.6256
Ni3 0.6256 0.6256 0.1232
Ni4 0.1232 0.6256 0.6256
Cr1 0.0000 0.0000 0.0000
Pu1 0.2500 0.2500 0.2500
# E_form	-17	kJ/mol of formula units
# M_tot	8.54	Bohr magnetons per cell
# E	-7.88	eV/atom

=====

# 4
# GGA-PBE Pu2Cr2Ni15, relaxed
data_Pu2Cr2Ni15
_cell_length_a 6.2643
_cell_length_b 6.2643
_cell_length_c 6.2643
_cell_angle_alpha 82.67
_cell_angle_beta 82.67
_cell_angle_gamma 82.67
_symmetry_space_group_name_H-M 'P 1'
_symmetry_Int_Tables_number 1
loop_
_symmetry_equiv_pos_as_xyz
'x,y,z'
loop_
_atom_site_label
_atom_site_fract_x
_atom_site_fract_y
_atom_site_fract_z
Ni1 0.3421 0.3421 0.8447
Ni2 0.0000 0.0000 0.5000
Ni3 0.3421 0.8447 0.3421
Ni4 0.6955 0.0000 0.3045
Ni5 0.5000 0.0000 0.0000
Ni6 0.6579 0.6579 0.1553
Ni7 0.8447 0.3421 0.3421
Ni8 0.0000 0.6955 0.3045
Ni9 0.0000 0.3045 0.6955
Ni10 0.1553 0.6579 0.6579
Ni11 0.6955 0.3045 0.0000
Ni12 0.6579 0.1553 0.6579
Ni13 0.3045 0.6955 0.0000
Ni14 0.0000 0.5000 0.0000
Ni15 0.3045 0.0000 0.6955
Cr1 0.9196 0.9196 0.9196
Cr2 0.0804 0.0804 0.0804
Pu1 0.6598 0.6598 0.6598
Pu2 0.3402 0.3402 0.3402
# E_form	-183	kJ/mol of formula units
# M_tot	4.33	Bohr magnetons per cell
# E	-7.19	eV/atom

=====

# 5
# GGA-PBE PuUCrNi, relaxed
data_PuUCrNi
_cell_length_a 4.4794
_cell_length_b 4.4794
_cell_length_c 4.4794
_cell_angle_alpha 60.00
_cell_angle_beta 60.00
_cell_angle_gamma 60.00
_symmetry_space_group_name_H-M 'P 1'
_symmetry_Int_Tables_number 1
loop_
_symmetry_equiv_pos_as_xyz
'x,y,z'
loop_
_atom_site_label
_atom_site_fract_x
_atom_site_fract_y
_atom_site_fract_z
Ni1 0.0000 0.0000 0.0000
Pu1 0.7500 0.7500 0.7500
U1 0.5000 0.5000 0.5000
Cr1 0.2500 0.2500 0.2500
# E_form	-13	kJ/mol of formula units
# M_tot	2.09	Bohr magnetons per cell
# E	-10.29	eV/atom

=====

# 6
# GGA-PBE RbCr2Ni, relaxed
data_RbCr2Ni
_cell_length_a 5.8474
_cell_length_b 5.8474
_cell_length_c 8.5586
_cell_angle_alpha 70.03
_cell_angle_beta 70.03
_cell_angle_gamma 90.00
_symmetry_space_group_name_H-M 'P 1'
_symmetry_Int_Tables_number 1
loop_
_symmetry_equiv_pos_as_xyz
'x,y,z'
loop_
_atom_site_label
_atom_site_fract_x
_atom_site_fract_y
_atom_site_fract_z
Rb1 0.7500 0.2500 0.5000
Rb2 0.0000 0.0000 0.0000
Cr1 0.3746 0.1250 0.2500
Cr2 0.8750 0.6246 0.7500
Cr3 0.3750 0.6254 0.7500
Cr4 0.3754 0.6250 0.2500
Ni1 0.2500 0.7500 0.5000
Ni2 0.5000 0.5000 0.0000
# E_form	482	kJ/mol of formula units
# M_tot	17.88	Bohr magnetons per cell
# energy relative to the lowest polymorph listed for this composition	0.00	eV/f.u.
# E	-5.25	eV/atom

=====

# 7
# GGA-PBE Rb3CrNi, relaxed
data_Rb3CrNi
_cell_length_a 6.3904
_cell_length_b 6.3904
_cell_length_c 6.3904
_cell_angle_alpha 90.00
_cell_angle_beta 90.00
_cell_angle_gamma 90.00
_symmetry_space_group_name_H-M 'P 1'
_symmetry_Int_Tables_number 1
loop_
_symmetry_equiv_pos_as_xyz
'x,y,z'
loop_
_atom_site_label
_atom_site_fract_x
_atom_site_fract_y
_atom_site_fract_z
Rb1 0.5000 0.0000 0.0000
Rb2 0.0000 0.5000 0.0000
Rb3 0.0000 0.0000 0.5000
Cr1 0.5000 0.5000 0.5000
Ni1 0.0000 0.0000 0.0000
# E_form	479	kJ/mol of formula units
# M_tot	5.00	Bohr magnetons per cell
# energy relative to the lowest polymorph listed for this composition	0.00	eV/f.u.
# E	-2.67	eV/atom

=====

# 8
# GGA-PBE RbCr2Ni, relaxed
data_RbCr2Ni
_cell_length_a 4.4047
_cell_length_b 4.4047
_cell_length_c 4.4047
_cell_angle_alpha 60.00
_cell_angle_beta 60.00
_cell_angle_gamma 60.00
_symmetry_space_group_name_H-M 'P 1'
_symmetry_Int_Tables_number 1
loop_
_symmetry_equiv_pos_as_xyz
'x,y,z'
loop_
_atom_site_label
_atom_site_fract_x
_atom_site_fract_y
_atom_site_fract_z
Cr1 0.2500 0.2500 0.2500
Cr2 0.7500 0.7500 0.7500
Ni1 0.0000 0.0000 0.0000
Rb1 0.5000 0.5000 0.5000
# E_form	774	kJ/mol of formula units
# M_tot	0.00	Bohr magnetons per cell
# energy relative to the lowest polymorph listed for this composition	3.02	eV/f.u.
# E	-4.49	eV/atom

=====

# 9
# GGA-PBE RbCrNi2, relaxed
data_RbCrNi2
_cell_length_a 4.6947
_cell_length_b 4.6947
_cell_length_c 4.6947
_cell_angle_alpha 60.00
_cell_angle_beta 60.00
_cell_angle_gamma 60.00
_symmetry_space_group_name_H-M 'P 1'
_symmetry_Int_Tables_number 1
loop_
_symmetry_equiv_pos_as_xyz
'x,y,z'
loop_
_atom_site_label
_atom_site_fract_x
_atom_site_fract_y
_atom_site_fract_z
Ni1 0.2500 0.2500 0.2500
Ni2 0.7500 0.7500 0.7500
Cr1 0.0000 0.0000 0.0000
Rb1 0.5000 0.5000 0.5000
# E_form	499	kJ/mol of formula units
# M_tot	4.45	Bohr magnetons per cell
# energy relative to the lowest polymorph listed for this composition	1.28	eV/f.u.
# E	-4.25	eV/atom

=====

# 10
# GGA-PBE RbCrNi2, relaxed
data_RbCrNi2
_cell_length_a 4.9999
_cell_length_b 4.9999
_cell_length_c 8.7988
_cell_angle_alpha 73.49
_cell_angle_beta 73.49
_cell_angle_gamma 90.00
_symmetry_space_group_name_H-M 'P 1'
_symmetry_Int_Tables_number 1
loop_
_symmetry_equiv_pos_as_xyz
'x,y,z'
loop_
_atom_site_label
_atom_site_fract_x
_atom_site_fract_y
_atom_site_fract_z
Ni1 0.8750 0.6251 0.7500
Ni2 0.3749 0.6250 0.2500
Ni3 0.3750 0.6249 0.7500
Ni4 0.3751 0.1250 0.2500
Rb1 0.7500 0.2500 0.5000
Rb2 0.0000 0.0000 0.0000
Cr1 0.2500 0.7500 0.5000
Cr2 0.5000 0.5000 0.0000
# E_form	376	kJ/mol of formula units
# M_tot	7.51	Bohr magnetons per cell
# energy relative to the lowest polymorph listed for this composition	0.00	eV/f.u.
# E	-4.56	eV/atom

=====

# 11
# GGA-PBE RbCrNi2Rh, relaxed
data_RbCrNi2Rh
_cell_length_a 4.5135
_cell_length_b 4.8241
_cell_length_c 4.5135
_cell_angle_alpha 90.00
_cell_angle_beta 90.00
_cell_angle_gamma 90.00
_symmetry_space_group_name_H-M 'P 1'
_symmetry_Int_Tables_number 1
loop_
_symmetry_equiv_pos_as_xyz
'x,y,z'
loop_
_atom_site_label
_atom_site_fract_x
_atom_site_fract_y
_atom_site_fract_z
Cr1 0.5000 0.5000 0.5000
Rb1 0.0000 0.0000 0.0000
Rh1 0.0000 0.5000 0.0000
Ni1 0.0000 0.0000 0.5000
Ni2 0.5000 0.0000 0.0000
# E_form	1313	kJ/mol of formula units
# M_tot	0.23	Bohr magnetons per cell
# E	-3.18	eV/atom

=====

# 12
# GGA-PBE Rb2CrNi2S4, relaxed
data_Rb2CrNi2S4
_cell_length_a 3.7191
_cell_length_b 7.5571
_cell_length_c 7.2177
_cell_angle_alpha 107.39
_cell_angle_beta 104.93
_cell_angle_gamma 90.00
_symmetry_space_group_name_H-M 'P 1'
_symmetry_Int_Tables_number 1
loop_
_symmetry_equiv_pos_as_xyz
'x,y,z'
loop_
_atom_site_label
_atom_site_fract_x
_atom_site_fract_y
_atom_site_fract_z
S1 0.8113 0.8470 0.6225
S2 0.5220 0.8018 0.0439
S3 0.1887 0.1530 0.3775
S4 0.4780 0.1982 0.9561
Cr1 0.0000 0.0000 0.0000
Ni1 0.6867 0.9900 0.3733
Ni2 0.3133 0.0100 0.6267
Rb1 0.1319 0.5537 0.2638
Rb2 0.8681 0.4463 0.7362
# M_tot	1.05	Bohr magnetons per cell
# formation energy from raw total energies	-0.690	eV/atom
# E	-5.09	eV/atom

=====

Look up the M_tot of the twelfth one.
1.05 Bohr magnetons per cell